[1]
Entry from Alexandria: HgAsRh2 after structural relaxation (GGA-PBE).

Lattice parameters (Å, degrees): 2.9540 3.8030 6.1899 90.00 90.00 90.00
Last column: nearest neighbours and their distance in Å.
Sites, in units of the cell vectors:
As 0.0000 0.0000 0.4171  5 Rh 2.44-2.55
Rh 0.0000 0.0000 0.0230  1 As 2.44
Rh 0.5000 0.5000 0.2795  4 As 2.55
Hg 0.5000 0.5000 0.7804  6 Rh 2.84-3.10, 2 Hg 2.95

Calculated values
The value obtained for the mass density is 11.5 g/cm3. As for the symmetry: Pmm2, No. 25. The formation energy comes out at 0.0076 eV/atom.

[2]
Entry from Alexandria: HgAs2Rh after structural relaxation (GGA-PBE).

Lattice parameters (Å, degrees): 2.9949 2.9949 8.3777 90.00 90.00 90.02
Last column: nearest neighbours and their distance in Å.
Sites, in units of the cell vectors:
As 0.0000 0.0000 0.9490  4 Rh 2.54
As 0.5000 0.5000 0.2388  8 As 2.99-3.22, 4 Hg 3.23
Rh 0.5000 0.5000 0.7826  4 As 2.54
Hg 0.0000 0.0000 0.5296  4 Hg 2.99, 4 Rh 3.00, 4 As 3.23

Calculated values
The value obtained for the mass density is 10.0 g/cm3. As for the symmetry: P4mm, No. 99. The formation energy comes out at 0.0585 eV/atom.

[3]
Entry from Alexandria: HgAs2Rh after structural relaxation (GGA-PBE).

Lattice parameters (Å, degrees): 5.9711 5.9711 7.0393 64.90 64.90 90.00
Last column: nearest neighbours and their distance in Å.
Sites, in units of the cell vectors:
As 0.5710 0.1250 0.2500  2 Rh 2.36
As 0.1790 0.6250 0.2500  2 Rh 2.36
As 0.3750 0.4290 0.7500  2 Rh 2.36
As 0.8750 0.8210 0.7500  2 Rh 2.36
Rh 0.5000 0.5000 0.0000  4 As 2.36
Rh 0.2500 0.7500 0.5000  4 As 2.36
Hg 0.0000 0.0000 0.0000  4 As 2.74
Hg 0.7500 0.2500 0.5000  4 As 2.74

Calculated values
The value obtained for the mass density is 7.5 g/cm3. As for the symmetry: I-42d, No. 122. The formation energy comes out at 0.0697 eV/atom.

[4]
Entry from Alexandria: Hg3AsRh after structural relaxation (GGA-PBE).

Lattice parameters (Å, degrees): 5.1933 5.1933 5.1933 90.00 90.00 90.00
Last column: nearest neighbours and their distance in Å.
Sites, in units of the cell vectors:
As 0.0000 0.0000 0.0000  6 Hg 2.60
Rh 0.5000 0.5000 0.5000  12 Hg 3.67
Hg 0.0000 0.5000 0.0000  2 As 2.60
Hg 0.0000 0.0000 0.5000  2 As 2.60
Hg 0.5000 0.0000 0.0000  2 As 2.60

Calculated values
The value obtained for the mass density is 9.2 g/cm3. As for the symmetry: Pm-3m, No. 221. For the energy relative to the lowest polymorph listed for this composition, the calculation gives 1.563 eV/f.u. The formation energy comes out at 0.9415 eV/atom.

[5]
Entry from Alexandria: Hg2As2Rh after structural relaxation (GGA-PBE).

Lattice parameters (Å, degrees): 3.7503 3.7503 8.8585 77.78 77.78 90.00
Last column: nearest neighbours and their distance in Å.
Sites, in units of the cell vectors:
As 0.4301 0.4301 0.1399  1 As 2.36
As 0.5699 0.5699 0.8601  1 As 2.36
Rh 0.0000 0.0000 0.0000  8 As 2.90
Hg 0.7500 0.2500 0.5000  4 Hg 2.65
Hg 0.2500 0.7500 0.5000  4 Hg 2.65

Calculated values
The value obtained for the mass density is 9.1 g/cm3. As for the symmetry: I4/mmm, No. 139. For the energy relative to the lowest polymorph listed for this composition, the calculation gives 2.332 eV/f.u. The formation energy comes out at 0.4060 eV/atom.

[6]
Entry from Alexandria: Hg2AsRh after structural relaxation (GGA-PBE).

Lattice parameters (Å, degrees): 5.1863 5.1863 4.7957 77.87 77.87 37.71
Last column: nearest neighbours and their distance in Å.
Sites, in units of the cell vectors:
As 0.7500 0.7500 0.7500  6 Hg 2.91-3.07, 4 Rh 2.93
Rh 0.2500 0.2500 0.2500  6 Hg 2.92-3.01, 4 As 2.93
Hg 0.9912 0.9912 0.0096  4 Hg 2.89-2.97, 3 As 2.91-3.07, 3 Rh 2.92-3.01
Hg 0.5088 0.5088 0.4904  4 Hg 2.89-2.97, 3 As 2.91-3.07, 3 Rh 2.92-3.01

Calculated values
The value obtained for the mass density is 12.5 g/cm3. As for the symmetry: C2/m, No. 12. The formation energy comes out at 0.2798 eV/atom.

[7]
Entry from Alexandria: HgAs2RhSe after structural relaxation (GGA-PBE).

Lattice parameters (Å, degrees): 4.7087 4.7087 5.3925 90.00 90.00 90.00
Last column: nearest neighbours and their distance in Å.
Sites, in units of the cell vectors:
As 0.0000 0.5000 0.0000  2 Rh 2.35
As 0.5000 0.0000 0.0000  2 Rh 2.35
Rh 0.0000 0.0000 0.0000  4 As 2.35
Hg 0.5000 0.5000 0.5000  4 Se 3.33, 8 As 3.58
Se 0.0000 0.0000 0.5000  2 Rh 2.70

Calculated values
The value obtained for the mass density is 7.4 g/cm3. The formation energy (no corrections) comes out at 34 kJ per mole of atoms. As for the symmetry: P4/mmm, No. 123. For the energy relative to the lowest polymorph listed for this composition, the calculation gives 0.000 eV/f.u.

[8]
Entry from Alexandria: Sr2HgAsRh after structural relaxation (GGA-PBE).

Lattice parameters (Å, degrees): 5.8378 5.8378 4.6507 90.00 90.00 90.00
Last column: nearest neighbours and their distance in Å.
Sites, in units of the cell vectors:
Sr 0.0000 0.5000 0.0000  2 Rh 2.92
Sr 0.5000 0.0000 0.0000  2 Rh 2.92
As 0.0000 0.0000 0.5000  2 Rh 2.33
Rh 0.0000 0.0000 0.0000  2 As 2.33
Hg 0.5000 0.5000 0.5000  8 Sr 3.73, 4 As 4.13

Calculated values
The value obtained for the mass density is 5.8 g/cm3. As for the symmetry: P4/mmm, No. 123. The formation energy comes out at -0.5455 eV/atom.

[9]
Entry from Alexandria: Hg2AsRu after structural relaxation (GGA-PBE).

Lattice parameters (Å, degrees): 4.7551 4.7551 4.7551 60.00 60.00 60.00
Last column: nearest neighbours and their distance in Å.
Sites, in units of the cell vectors:
Ru 0.7500 0.7500 0.7500  4 Hg 2.91, 4 As 2.91
As 0.5000 0.5000 0.5000  4 Hg 2.91, 4 Ru 2.91
Hg 0.0000 0.0000 0.0000  4 Hg 2.91, 4 Ru 2.91
Hg 0.2500 0.2500 0.2500  4 Hg 2.91, 4 As 2.91

Calculated values
The value obtained for the mass density is 12.6 g/cm3. As for the symmetry: F-43m, No. 216. The formation energy comes out at 0.6267 eV/atom.

[10]
Entry from Alexandria: Hg2AsRu after structural relaxation (GGA-PBE).

Lattice parameters (Å, degrees): 4.7667 4.7667 3.3804 90.00 90.00 90.00
Last column: nearest neighbours and their distance in Å.
Sites, in units of the cell vectors:
Ru 0.5000 0.0000 0.5000  8 Hg 2.92
As 0.0000 0.5000 0.5000  8 Hg 2.92
Hg 0.0000 0.0000 0.0000  4 As 2.92, 4 Ru 2.92
Hg 0.5000 0.5000 0.0000  4 As 2.92, 4 Ru 2.92

Calculated values
The value obtained for the mass density is 12.5 g/cm3. As for the symmetry: P4/mmm, No. 123. The formation energy comes out at 0.6722 eV/atom.

[11]
Entry from Alexandria: HgAsRu2 after structural relaxation (GGA-PBE).

Lattice parameters (Å, degrees): 8.4531 8.4531 8.4531 20.54 20.54 20.54
Last column: nearest neighbours and their distance in Å.
Sites, in units of the cell vectors:
Ru 0.9885 0.9885 0.9885  3 As 2.49
Ru 0.5115 0.5115 0.5115  3 As 2.49
As 0.2500 0.2500 0.2500  6 Ru 2.49
Hg 0.7500 0.7500 0.7500  6 Ru 2.93, 6 Hg 3.01

Calculated values
The value obtained for the mass density is 12.2 g/cm3. As for the symmetry: R-3m, No. 166. For the energy relative to the lowest polymorph listed for this composition, the calculation gives 0.124 eV/f.u. The formation energy comes out at 0.2102 eV/atom.

[12]
Entry from Alexandria: HgAsRu after structural relaxation (GGA-PBE).

Lattice parameters (Å, degrees): 6.4486 6.4477 3.0571 76.30 76.27 27.43
Last column: nearest neighbours and their distance in Å.
Sites, in units of the cell vectors:
Ru 0.6474 0.6474 0.3526  4 As 2.53
As 0.0394 0.0394 0.9606  4 Ru 2.53
Hg 0.3132 0.3132 0.6868  4 Ru 2.95-2.96, 4 Hg 3.06

Calculated values
The value obtained for the mass density is 11.0 g/cm3. As for the symmetry: I4mm, No. 107. For the energy relative to the lowest polymorph listed for this composition, the calculation gives 0.148 eV/f.u. The formation energy comes out at 0.0696 eV/atom.

The following N(E_F) values (in states/eV/f.u.) correspond, in order, to the records above: 4.93; 1.24; 3.31; 5.02; 3.20; 2.63; 3.48; 3.27; 4.06; 4.05; 4.81; 2.43.